(1)
Material: Ba3Ac2SmSe6
Method: DFT, PBE
State: optimized geometry

Cell: 7.7842 7.7842 7.9368 Å, 99.43 99.43 119.96°
Closest atoms and distances in Å follow each position.
Positions (direct):
1 Ba 0.0000 0.0000 0.0000  6 Se 3.27-3.36
2 Ba 0.3307 0.6693 0.0000  6 Se 3.27-3.35
3 Ba 0.6693 0.3307 0.0000  6 Se 3.27-3.35
4 Ac 0.1662 0.8338 0.5000  6 Se 3.14-3.15
5 Ac 0.8338 0.1662 0.5000  6 Se 3.14-3.15
6 Sm 0.5000 0.5000 0.5000  6 Se 3.03-3.04
7 Se 0.1022 0.4243 0.2726  1 Sm 3.03, 2 Ac 3.14-3.15, 3 Ba 3.27-3.35
8 Se 0.2549 0.2549 0.7302  1 Sm 3.04, 2 Ac 3.15, 3 Ba 3.28-3.36
9 Se 0.4243 0.1022 0.2726  1 Sm 3.03, 2 Ac 3.14-3.15, 3 Ba 3.27-3.35
10 Se 0.5757 0.8978 0.7274  1 Sm 3.03, 2 Ac 3.14-3.15, 3 Ba 3.27-3.35
11 Se 0.7451 0.7451 0.2698  1 Sm 3.04, 2 Ac 3.15, 3 Ba 3.28-3.36
12 Se 0.8978 0.5757 0.7274  1 Sm 3.03, 2 Ac 3.14-3.15, 3 Ba 3.27-3.35

Results
Formation energy (no corrections) = -1932 meV per atom
SG = C2/m, No. 12
Crystal system = monoclinic
M_tot = 0.000 μB/atom

---

(2)
Material: LaPd6Au5
Method: DFT, PBE
State: optimized geometry

Cell: 7.7777 7.7777 7.7777 Å, 147.44 121.60 68.47°
Closest atoms and distances in Å follow each position.
Positions (direct):
1 La 0.0000 0.0000 0.0000  8 Pd 2.92-2.96, 4 Au 3.06
2 Pd 0.0873 0.8309 0.2564  7 Au 2.80-2.92, 1 La 2.92, 4 Pd 3.02-3.08
3 Pd 0.2641 0.5000 0.7641  6 Au 2.82-2.94, 2 La 2.96, 4 Pd 3.08
4 Pd 0.4255 0.1691 0.2564  7 Au 2.80-2.92, 1 La 2.92, 4 Pd 3.02-3.08
5 Pd 0.5745 0.8309 0.7436  7 Au 2.80-2.92, 1 La 2.92, 4 Pd 3.02-3.08
6 Pd 0.7359 0.5000 0.2359  6 Au 2.82-2.94, 2 La 2.96, 4 Pd 3.08
7 Pd 0.9127 0.1691 0.7436  7 Au 2.80-2.92, 1 La 2.92, 4 Pd 3.02-3.08
8 Au 0.1674 0.6674 0.5000  8 Pd 2.80-2.94, 2 Au 3.02, 2 La 3.06
9 Au 0.3300 0.3300 0.0000  8 Pd 2.83-2.86, 4 Au 3.02-3.09
10 Au 0.5000 0.0000 0.5000  8 Pd 2.82-2.85, 4 Au 3.09
11 Au 0.6700 0.6700 0.0000  8 Pd 2.83-2.86, 4 Au 3.02-3.09
12 Au 0.8326 0.3326 0.5000  8 Pd 2.80-2.94, 2 Au 3.02, 2 La 3.06

Results
Energy relative to the elements = -3.9 eV/f.u.
SG = Immm, No. 71
Crystal system = orthorhombic
M_tot = 0.000 μB/atom

---

(3)
Material: SrTaS3
Method: DFT, PBE
State: optimized geometry

Cell: 5.2244 5.2244 5.2244 Å, 90.00 90.00 90.00°
Closest atoms and distances in Å follow each position.
Positions (direct):
1 Sr 0.0000 0.0000 0.0000  6 S 2.61
2 Ta 0.5000 0.5000 0.5000  12 S 3.69
3 S 0.0000 0.0000 0.5000  2 Sr 2.61
4 S 0.0000 0.5000 0.0000  2 Sr 2.61
5 S 0.5000 0.0000 0.0000  2 Sr 2.61

Results
Formation energy (no corrections) = 1166 meV per atom
SG = Pm-3m, No. 221
Crystal system = cubic
M_tot = 0.049 μB/atom

---

(4)
Material: Pm5Ho2Tm12
Method: DFT, PBE
State: optimized geometry

Cell: 9.7150 9.7150 10.3129 Å, 109.58 109.58 42.05°
Closest atoms and distances in Å follow each position.
Positions (direct):
1 Pm 0.0000 0.0000 0.0000  2 Tm 2.80
2 Pm 0.1878 0.1878 0.6820  5 Tm 3.26-3.53, 2 Pm 3.50
3 Pm 0.3183 0.3183 0.2909  2 Pm 3.50, 2 Ho 3.60, 8 Tm 3.62-3.81
4 Pm 0.6817 0.6817 0.7091  2 Pm 3.50, 2 Ho 3.60, 8 Tm 3.62-3.81
5 Pm 0.8122 0.8122 0.3180  5 Tm 3.26-3.53, 2 Pm 3.50
6 Ho 0.2706 0.7294 0.5000  2 Tm 3.07, 1 Ho 3.20
7 Ho 0.7294 0.2706 0.5000  2 Tm 3.07, 1 Ho 3.20
8 Tm 0.0251 0.0251 0.7477  1 Pm 2.80, 2 Ho 3.07
9 Tm 0.0888 0.5953 0.6312  6 Tm 3.32-3.61, 3 Pm 3.50-3.71, 1 Ho 3.58
10 Tm 0.0898 0.5846 0.9777  6 Tm 3.36-3.61, 3 Pm 3.37-3.70
11 Tm 0.4047 0.9112 0.3688  6 Tm 3.32-3.61, 3 Pm 3.50-3.71, 1 Ho 3.58
12 Tm 0.4154 0.9102 0.0223  6 Tm 3.36-3.61, 3 Pm 3.37-3.70
13 Tm 0.4977 0.4977 0.8254  7 Tm 3.32-3.65
14 Tm 0.5023 0.5023 0.1746  7 Tm 3.32-3.65
15 Tm 0.5846 0.0898 0.9777  6 Tm 3.36-3.61, 3 Pm 3.37-3.70
16 Tm 0.5953 0.0888 0.6312  6 Tm 3.32-3.61, 3 Pm 3.50-3.71, 1 Ho 3.58
17 Tm 0.9102 0.4154 0.0223  6 Tm 3.36-3.61, 3 Pm 3.37-3.70
18 Tm 0.9112 0.4047 0.3688  6 Tm 3.32-3.61, 3 Pm 3.50-3.71, 1 Ho 3.58
19 Tm 0.9749 0.9749 0.2523  1 Pm 2.80, 2 Ho 3.07

Results
Energy relative to the elements = 3.4 eV/f.u.
Offset from the most stable computed form = 156 meV per atom
SG = C2/m, No. 12
Crystal system = monoclinic
M_tot = 0.000 μB/atom

---

(5)
Material: Ac7GeAs5
Method: DFT, PBE
State: optimized geometry

Cell: 7.7769 7.7769 26.7179 Å, 90.00 90.00 146.17°
Closest atoms and distances in Å follow each position.
Positions (direct):
1 Ac 0.0500 0.9500 0.7500  2 As 3.14, 2 Ge 3.21
2 Ac 0.1367 0.8633 0.0356  6 As 3.19-3.23
3 Ac 0.1367 0.8633 0.4644  6 As 3.19-3.23
4 Ac 0.3151 0.6849 0.6777  3 As 3.07-3.17, 2 Ge 3.41
5 Ac 0.3151 0.6849 0.8223  3 As 3.07-3.17, 2 Ge 3.41
6 Ac 0.4123 0.5877 0.1066  5 As 3.13-3.20
7 Ac 0.4123 0.5877 0.3934  5 As 3.13-3.20
8 Ac 0.5877 0.4123 0.6066  5 As 3.13-3.20
9 Ac 0.5877 0.4123 0.8934  5 As 3.13-3.20
10 Ac 0.6849 0.3151 0.1777  3 As 3.07-3.17, 2 Ge 3.41
11 Ac 0.6849 0.3151 0.3223  3 As 3.07-3.17, 2 Ge 3.41
12 Ac 0.8633 0.1367 0.5356  6 As 3.19-3.23
13 Ac 0.8633 0.1367 0.9644  6 As 3.19-3.23
14 Ac 0.9500 0.0500 0.2500  2 As 3.14, 2 Ge 3.21
15 Ge 0.2966 0.7034 0.2500  6 Ac 3.21-3.41
16 Ge 0.7034 0.2966 0.7500  6 Ac 3.21-3.41
17 As 0.0471 0.9529 0.1458  6 Ac 3.14-3.23
18 As 0.0471 0.9529 0.3542  6 Ac 3.14-3.23
19 As 0.2260 0.7740 0.5740  6 Ac 3.07-3.22
20 As 0.2260 0.7740 0.9260  6 Ac 3.07-3.22
21 As 0.5000 0.5000 0.0000  6 Ac 3.13-3.19
22 As 0.5000 0.5000 0.5000  6 Ac 3.13-3.19
23 As 0.7740 0.2260 0.0740  6 Ac 3.07-3.22
24 As 0.7740 0.2260 0.4260  6 Ac 3.07-3.22
25 As 0.9529 0.0471 0.6458  6 Ac 3.14-3.23
26 As 0.9529 0.0471 0.8542  6 Ac 3.14-3.23

Results
Energy relative to the elements = -16.3 eV/f.u.
SG = Cmcm, No. 63
Crystal system = orthorhombic
M_tot = 0.053 μB/atom

---

(6)
Material: ScAg2Br
Method: DFT, PBE
State: optimized geometry

Cell: 6.2228 6.2228 6.2228 Å, 143.31 143.31 52.86°
Closest atoms and distances in Å follow each position.
Positions (direct):
1 Sc 0.0000 0.0000 0.0000  4 Br 2.77
2 Ag 0.2500 0.7500 0.5000  4 Ag 2.77
3 Ag 0.7500 0.2500 0.5000  4 Ag 2.77
4 Br 0.5000 0.5000 0.0000  4 Sc 2.77

Results
Formation energy (no corrections) = -187 meV per atom
Offset from the most stable computed form = 198 meV per atom
SG = I4/mmm, No. 139
Crystal system = tetragonal
M_tot = 0.000 μB/atom

---

(7)
Material: K2CdPtN
Method: DFT, PBE
State: optimized geometry

Cell: 6.0602 6.0602 3.7536 Å, 90.00 90.00 90.00°
Closest atoms and distances in Å follow each position.
Positions (direct):
1 K 0.0000 0.5000 0.0000  2 N 3.03
2 K 0.5000 0.0000 0.0000  2 N 3.03
3 Cd 0.0000 0.0000 0.5000  8 K 3.56, 2 Cd 3.75
4 Pt 0.5000 0.5000 0.5000  2 N 1.88
5 N 0.5000 0.5000 0.0000  2 Pt 1.88

Results
Formation energy (no corrections) = -98 meV per atom
Offset from the most stable computed form = 0 meV per atom
SG = P4/mmm, No. 123
Crystal system = tetragonal
M_tot = 0.000 μB/atom

---

(8)
Material: K2YRu
Method: DFT, PBE
State: optimized geometry

Cell: 5.3793 5.3793 5.3793 Å, 60.00 60.00 60.00°
Closest atoms and distances in Å follow each position.
Positions (direct):
1 K 0.0000 0.0000 0.0000  4 Ru 3.29, 4 K 3.29
2 K 0.2500 0.2500 0.2500  4 Y 3.29, 4 K 3.29
3 Y 0.5000 0.5000 0.5000  4 K 3.29, 4 Ru 3.29
4 Ru 0.7500 0.7500 0.7500  4 Y 3.29, 4 K 3.29

Results
Energy relative to the elements = 3.5 eV/f.u.
Offset from the most stable computed form = 553 meV per atom
SG = F-43m, No. 216
Crystal system = cubic
M_tot = 0.000 μB/atom

---

(9)
Material: Ga3Hg12Br5
Method: DFT, PBE
State: optimized geometry

Cell: 15.3522 15.3522 15.3522 Å, 109.47 109.47 109.47°
Closest atoms and distances in Å follow each position.
Positions (direct):
1 Ga 0.1250 0.2500 0.3750  4 Hg 2.86
2 Ga 0.1250 0.3750 0.7500  4 Hg 2.86
3 Ga 0.2500 0.3750 0.1250  4 Hg 2.86
4 Ga 0.2500 0.8750 0.6250  4 Hg 2.86
5 Ga 0.3750 0.1250 0.2500  4 Hg 2.86
6 Ga 0.3750 0.7500 0.1250  4 Hg 2.86
7 Ga 0.6250 0.2500 0.8750  4 Hg 2.86
8 Ga 0.6250 0.8750 0.7500  4 Hg 2.86
9 Ga 0.7500 0.1250 0.3750  4 Hg 2.86
10 Ga 0.7500 0.6250 0.8750  4 Hg 2.86
11 Ga 0.8750 0.6250 0.2500  4 Hg 2.86
12 Ga 0.8750 0.7500 0.6250  4 Hg 2.86
13 Hg 0.0597 0.6345 0.3908  1 Ga 2.86, 2 Br 3.06-3.16, 1 Hg 3.12
14 Hg 0.0597 0.9253 0.6689  1 Ga 2.86, 2 Br 3.06-3.16, 1 Hg 3.12
15 Hg 0.0747 0.2437 0.1345  1 Ga 2.86, 2 Br 3.06-3.16, 1 Hg 3.12
16 Hg 0.0747 0.3311 0.9403  1 Ga 2.86, 2 Br 3.06-3.16, 1 Hg 3.12
17 Hg 0.1092 0.7437 0.6689  1 Ga 2.86, 2 Br 3.06-3.16, 1 Hg 3.12
18 Hg 0.1092 0.8655 0.4403  1 Ga 2.86, 2 Br 3.06-3.16, 1 Hg 3.12
19 Hg 0.1345 0.0747 0.2437  1 Ga 2.86, 2 Br 3.06-3.16, 1 Hg 3.12
20 Hg 0.1345 0.5597 0.8908  1 Ga 2.86, 2 Br 3.06-3.16, 1 Hg 3.12
21 Hg 0.1689 0.2437 0.6092  1 Ga 2.86, 2 Br 3.06-3.16, 1 Hg 3.12
22 Hg 0.1689 0.4253 0.5597  1 Ga 2.86, 2 Br 3.06-3.16, 1 Hg 3.12
23 Hg 0.2437 0.1345 0.0747  1 Ga 2.86, 2 Br 3.06-3.16, 1 Hg 3.12
24 Hg 0.2437 0.6092 0.1689  1 Ga 2.86, 2 Br 3.06-3.16, 1 Hg 3.12
25 Hg 0.2563 0.3311 0.8908  1 Ga 2.86, 2 Br 3.06-3.16, 1 Hg 3.12
26 Hg 0.2563 0.4253 0.3655  1 Ga 2.86, 2 Br 3.06-3.16, 1 Hg 3.12
27 Hg 0.3311 0.8908 0.2563  1 Ga 2.86, 2 Br 3.06-3.16, 1 Hg 3.12
28 Hg 0.3311 0.9403 0.0747  1 Ga 2.86, 2 Br 3.06-3.16, 1 Hg 3.12
29 Hg 0.3655 0.2563 0.4253  1 Ga 2.86, 2 Br 3.06-3.16, 1 Hg 3.12
30 Hg 0.3655 0.6092 0.9403  1 Ga 2.86, 2 Br 3.06-3.16, 1 Hg 3.12
31 Hg 0.3908 0.0597 0.6345  1 Ga 2.86, 2 Br 3.06-3.16, 1 Hg 3.12
32 Hg 0.3908 0.8311 0.7563  1 Ga 2.86, 2 Br 3.06-3.16, 1 Hg 3.12
33 Hg 0.4253 0.3655 0.2563  1 Ga 2.86, 2 Br 3.06-3.16, 1 Hg 3.12
34 Hg 0.4253 0.5597 0.1689  1 Ga 2.86, 2 Br 3.06-3.16, 1 Hg 3.12
35 Hg 0.4403 0.1092 0.8655  1 Ga 2.86, 2 Br 3.06-3.16, 1 Hg 3.12
36 Hg 0.4403 0.8311 0.5747  1 Ga 2.86, 2 Br 3.06-3.16, 1 Hg 3.12
37 Hg 0.5597 0.1689 0.4253  1 Ga 2.86, 2 Br 3.06-3.16, 1 Hg 3.12
38 Hg 0.5597 0.8908 0.1345  1 Ga 2.86, 2 Br 3.06-3.16, 1 Hg 3.12
39 Hg 0.5747 0.4403 0.8311  1 Ga 2.86, 2 Br 3.06-3.16, 1 Hg 3.12
40 Hg 0.5747 0.6345 0.7437  1 Ga 2.86, 2 Br 3.06-3.16, 1 Hg 3.12
41 Hg 0.6092 0.1689 0.2437  1 Ga 2.86, 2 Br 3.06-3.16, 1 Hg 3.12
42 Hg 0.6092 0.9403 0.3655  1 Ga 2.86, 2 Br 3.06-3.16, 1 Hg 3.12
43 Hg 0.6345 0.3908 0.0597  1 Ga 2.86, 2 Br 3.06-3.16, 1 Hg 3.12
44 Hg 0.6345 0.7437 0.5747  1 Ga 2.86, 2 Br 3.06-3.16, 1 Hg 3.12
45 Hg 0.6689 0.0597 0.9253  1 Ga 2.86, 2 Br 3.06-3.16, 1 Hg 3.12
46 Hg 0.6689 0.1092 0.7437  1 Ga 2.86, 2 Br 3.06-3.16, 1 Hg 3.12
47 Hg 0.7437 0.5747 0.6345  1 Ga 2.86, 2 Br 3.06-3.16, 1 Hg 3.12
48 Hg 0.7437 0.6689 0.1092  1 Ga 2.86, 2 Br 3.06-3.16, 1 Hg 3.12
49 Hg 0.7563 0.3908 0.8311  1 Ga 2.86, 2 Br 3.06-3.16, 1 Hg 3.12
50 Hg 0.7563 0.8655 0.9253  1 Ga 2.86, 2 Br 3.06-3.16, 1 Hg 3.12
51 Hg 0.8311 0.5747 0.4403  1 Ga 2.86, 2 Br 3.06-3.16, 1 Hg 3.12
52 Hg 0.8311 0.7563 0.3908  1 Ga 2.86, 2 Br 3.06-3.16, 1 Hg 3.12
53 Hg 0.8655 0.4403 0.1092  1 Ga 2.86, 2 Br 3.06-3.16, 1 Hg 3.12
54 Hg 0.8655 0.9253 0.7563  1 Ga 2.86, 2 Br 3.06-3.16, 1 Hg 3.12
55 Hg 0.8908 0.1345 0.5597  1 Ga 2.86, 2 Br 3.06-3.16, 1 Hg 3.12
56 Hg 0.8908 0.2563 0.3311  1 Ga 2.86, 2 Br 3.06-3.16, 1 Hg 3.12
57 Hg 0.9253 0.6689 0.0597  1 Ga 2.86, 2 Br 3.06-3.16, 1 Hg 3.12
58 Hg 0.9253 0.7563 0.8655  1 Ga 2.86, 2 Br 3.06-3.16, 1 Hg 3.12
59 Hg 0.9403 0.0747 0.3311  1 Ga 2.86, 2 Br 3.06-3.16, 1 Hg 3.12
60 Hg 0.9403 0.3655 0.6092  1 Ga 2.86, 2 Br 3.06-3.16, 1 Hg 3.12
61 Br 0.0000 0.0000 0.0000  6 Hg 3.16
62 Br 0.0000 0.0000 0.5000  6 Hg 3.16
63 Br 0.0000 0.5000 0.0000  6 Hg 3.16
64 Br 0.0000 0.5000 0.5000  6 Hg 3.16
65 Br 0.1250 0.7500 0.8750  4 Hg 3.06
66 Br 0.1250 0.8750 0.2500  4 Hg 3.06
67 Br 0.2500 0.1250 0.8750  4 Hg 3.06
68 Br 0.2500 0.6250 0.3750  4 Hg 3.06
69 Br 0.3750 0.2500 0.6250  4 Hg 3.06
70 Br 0.3750 0.6250 0.7500  4 Hg 3.06
71 Br 0.5000 0.0000 0.0000  6 Hg 3.16
72 Br 0.5000 0.0000 0.5000  6 Hg 3.16
73 Br 0.5000 0.5000 0.0000  6 Hg 3.16
74 Br 0.5000 0.5000 0.5000  6 Hg 3.16
75 Br 0.6250 0.3750 0.2500  4 Hg 3.06
76 Br 0.6250 0.7500 0.3750  4 Hg 3.06
77 Br 0.7500 0.3750 0.6250  4 Hg 3.06
78 Br 0.7500 0.8750 0.1250  4 Hg 3.06
79 Br 0.8750 0.1250 0.7500  4 Hg 3.06
80 Br 0.8750 0.2500 0.1250  4 Hg 3.06

Results
Formation energy (no corrections) = -63 meV per atom
SG = Ia-3d, No. 230
Crystal system = cubic
M_tot = 0.000 μB/atom

---

(10)
Material: Y5Ho12Tl2
Method: DFT, PBE
State: optimized geometry

Cell: 9.2189 9.2189 8.7441 Å, 98.45 98.45 55.56°
Closest atoms and distances in Å follow each position.
Positions (direct):
1 Y 0.0000 0.0000 0.0000  10 Ho 3.48-3.72
2 Y 0.2931 0.2931 0.0120  8 Ho 3.28-3.52
3 Y 0.3044 0.3044 0.4841  8 Ho 3.51-3.79, 2 Tl 3.51
4 Y 0.6956 0.6956 0.5159  8 Ho 3.51-3.79, 2 Tl 3.51
5 Y 0.7069 0.7069 0.9880  8 Ho 3.28-3.52
6 Ho 0.0424 0.6240 0.7927  3 Ho 3.16-3.50, 4 Y 3.28-3.51
7 Ho 0.0679 0.6774 0.2188  1 Tl 3.14, 3 Y 3.32-3.52, 3 Ho 3.36-3.51
8 Ho 0.0763 0.0763 0.4253  3 Ho 3.00-3.16, 2 Tl 3.16
9 Ho 0.3226 0.9321 0.7812  1 Tl 3.14, 3 Y 3.32-3.52, 3 Ho 3.36-3.51
10 Ho 0.3760 0.9576 0.2073  3 Ho 3.16-3.50, 4 Y 3.28-3.51
11 Ho 0.4845 0.4845 0.8151  5 Ho 3.19-3.55, 2 Tl 3.19
12 Ho 0.5155 0.5155 0.1849  5 Ho 3.19-3.55, 2 Tl 3.19
13 Ho 0.6240 0.0424 0.7927  3 Ho 3.16-3.50, 4 Y 3.28-3.51
14 Ho 0.6774 0.0679 0.2188  1 Tl 3.14, 3 Y 3.32-3.52, 3 Ho 3.36-3.51
15 Ho 0.9237 0.9237 0.5747  3 Ho 3.00-3.16, 2 Tl 3.16
16 Ho 0.9321 0.3226 0.7812  1 Tl 3.14, 3 Y 3.32-3.52, 3 Ho 3.36-3.51
17 Ho 0.9576 0.3760 0.2073  3 Ho 3.16-3.50, 4 Y 3.28-3.51
18 Tl 0.3240 0.6760 0.5000  1 Tl 3.02, 6 Ho 3.14-3.19
19 Tl 0.6760 0.3240 0.5000  1 Tl 3.02, 6 Ho 3.14-3.19

Results
Energy relative to the elements = 2.0 eV/f.u.
SG = C2/m, No. 12
Crystal system = monoclinic
M_tot = 0.000 μB/atom